Entry 1:
Computed, not measured: a relaxed structure of PmPrScTl at the PBE-GGA level of DFT.

- D(E_F): 9.6 states/eV per cell
- Energy of formation from the pure elements: -0.146 eV/atom
- Calculated volume: 28.5 A^3/atom
- ρ: 7.79 Mg/m³
- Total magnetization: 1.79 Bohr magnetons per cell
- Space group: P4/nmm
- Total energy: -37.6 eV for the cell shown

Lattice parameters (Å, degrees): 4.810 4.810 9.862 90.00 90.00 90.00
Last column: magnetic moment on the atom in μB.
Sites, in units of the cell vectors:
Pm  0.000  0.500  0.741  0.15
Pm  0.500  0.000  0.259  0.15
Pr  0.500  0.500  0.000  0.03
Pr  0.000  0.000  0.000  0.03
Sc  0.000  0.000  0.500  0.36
Sc  0.500  0.500  0.500  0.36
Tl  0.500  0.000  0.720  -0.01
Tl  0.000  0.500  0.280  -0.01

=====

Entry 2:
Computed, not measured: a relaxed structure of PmPrScTl at the PBE-GGA level of DFT.

- D(E_F): 5.1 states/eV per cell
- Energy of formation from the pure elements: -0.081 eV/atom
- Calculated volume: 29.5 A^3/atom
- ρ: 7.54 Mg/m³
- Total magnetization: 1.25 Bohr magnetons per cell
- Space group: F-43m
- Total energy: -18.6 eV for the cell shown

Lattice parameters (Å, degrees): 5.504 5.504 5.504 60.00 60.00 60.00
Last column: magnetic moment on the atom in μB.
Sites, in units of the cell vectors:
Pr  0.750  0.750  0.750  0.15
Sc  0.000  0.000  0.000  0.44
Tl  0.500  0.500  0.500  -0.01
Pm  0.250  0.250  0.250  0.18

=====

Entry 3:
Computed, not measured: a relaxed structure of PmPr2ScTl2 at the PBE-GGA level of DFT.

- D(E_F): 14.0 states/eV per cell
- Energy of formation from the pure elements: -0.256 eV/atom
- Calculated volume: 30.1 A^3/atom
- ρ: 8.09 Mg/m³
- Total magnetization: 0.00 Bohr magnetons per cell
- Space group: Pmc2_1
- Total energy: -53.8 eV for the cell shown

Lattice parameters (Å, degrees): 5.055 7.116 10.054 90.00 90.00 90.00
Sites, in units of the cell vectors:
Pm  0.000  0.960  0.452
Pm  0.000  0.460  0.548
Pr  0.500  0.056  0.052
Pr  0.000  0.340  0.184
Pr  0.500  0.556  0.948
Pr  0.000  0.840  0.816
Sc  0.500  0.163  0.689
Sc  0.500  0.663  0.311
Tl  0.000  0.291  0.850
Tl  0.500  0.235  0.387
Tl  0.000  0.791  0.150
Tl  0.500  0.735  0.613

=====

Entry 4:
Computed, not measured: a relaxed structure of Pm2PrTm4Sc at the PBE-GGA level of DFT.

- D(E_F): 36.4 states/eV per cell
- Energy of formation from the pure elements: 0.419 eV/atom
- Calculated volume: 32.1 A^3/atom
- ρ: 7.45 Mg/m³
- Total magnetization: 1.61 Bohr magnetons per cell
- Space group: C2/c
- Total energy: -70.3 eV for the cell shown

Lattice parameters (Å, degrees): 9.391 9.391 11.677 128.43 128.43 88.33
Last column: magnetic moment on the atom in μB.
Sites, in units of the cell vectors:
Pm  0.500  0.000  0.000  0.04
Pm  0.500  0.000  0.500  0.04
Pm  0.000  0.000  0.500  0.10
Pm  0.500  0.500  0.000  0.10
Pr  0.000  0.500  0.000  0.05
Pr  0.000  0.500  0.500  0.05
Tm  0.236  0.764  0.000  0.10
Tm  0.736  0.264  0.500  0.10
Tm  0.264  0.736  0.500  0.10
Tm  0.764  0.236  0.000  0.10
Tm  0.749  0.749  0.984  0.06
Tm  0.751  0.751  0.516  0.06
Tm  0.249  0.249  0.484  0.06
Tm  0.251  0.251  0.016  0.06
Sc  0.500  0.500  0.500  0.09
Sc  0.000  0.000  0.000  0.09

=====

Entry 5:
Computed, not measured: a relaxed structure of Pm6PrTm2Sc at the PBE-GGA level of DFT.

- D(E_F): 29.5 states/eV per cell
- Energy of formation from the pure elements: 0.126 eV/atom
- Calculated volume: 33.0 A^3/atom
- ρ: 7.02 Mg/m³
- Total magnetization: 0.00 Bohr magnetons per cell
- Space group: C2/c
- Total energy: -94.6 eV for the cell shown

Lattice parameters (Å, degrees): 9.370 8.866 8.866 115.99 92.87 92.87
Sites, in units of the cell vectors:
Pm  0.054  0.117  0.765
Pm  0.446  0.235  0.883
Pm  0.946  0.883  0.235
Pm  0.554  0.765  0.117
Pm  0.310  0.011  0.449
Pm  0.190  0.551  0.989
Pm  0.690  0.989  0.551
Pm  0.810  0.449  0.011
Pm  0.111  0.707  0.478
Pm  0.389  0.522  0.293
Pm  0.889  0.293  0.522
Pm  0.611  0.478  0.707
Pr  0.250  0.968  0.032
Pr  0.750  0.032  0.968
Tm  0.446  0.792  0.695
Tm  0.054  0.305  0.208
Tm  0.554  0.208  0.305
Tm  0.946  0.695  0.792
Sc  0.250  0.419  0.581
Sc  0.750  0.581  0.419

=====

Entry 6:
Computed, not measured: a relaxed structure of PmPrTmSc at the PBE-GGA level of DFT.

- D(E_F): 6.1 states/eV per cell
- Energy of formation from the pure elements: 0.090 eV/atom
- Calculated volume: 31.3 A^3/atom
- ρ: 6.64 Mg/m³
- Total magnetization: 0.00 Bohr magnetons per cell
- Space group: F-43m
- Total energy: -20.0 eV for the cell shown

Lattice parameters (Å, degrees): 5.613 5.613 5.613 60.00 60.00 60.00
Sites, in units of the cell vectors:
Pr  0.750  0.750  0.750
Sc  0.000  0.000  0.000
Tm  0.500  0.500  0.500
Pm  0.250  0.250  0.250